# 1
PBE-GGA Pm2MgRh, optimized geometry; formation enthalpy at 0 K = -0.393 eV/atom; SG = No. 123; D(E_F) = 2.3 states/eV per cell; total magnetization = 0.00 μB per cell; VASP energy = -20.02 eV per cell; E above lowest polymorph = 0.0381 eV/atom
1.0
3.628 0.000 0.000
0.000 3.628 0.000
0.000 0.000 7.775
Pm Mg Rh
2 1 1
Direct
0.000 0.000 0.213
0.000 0.000 0.787
0.500 0.500 0.500
0.500 0.500 0.000

=====

# 2
PBE-GGA RbLi2NpI8, optimized geometry; SG = No. 2; D(E_F) = 9.9 states/eV per cell; total magnetization = 1.97 μB per cell; VASP energy = -41.11 eV per cell
1.0
7.279 0.000 0.000
1.766 7.371 0.000
0.177 0.095 10.494
Rb Li Np I
1 2 1 8
Direct
0.000 0.000 0.000
0.499 0.501 0.157
0.501 0.499 0.843
0.000 0.000 0.500
0.211 0.277 0.502
0.254 0.795 0.698
0.262 0.806 0.300
0.308 0.328 0.004
0.692 0.672 0.996
0.738 0.194 0.700
0.746 0.205 0.302
0.789 0.723 0.498

=====

# 3
PBE-GGA BeZnTc2, optimized geometry; formation enthalpy at 0 K = -0.038 eV/atom; SG = No. 99; D(E_F) = 1.8 states/eV per cell; total magnetization = 0.00 μB per cell; VASP energy = -25.88 eV per cell; E above lowest polymorph = 0.0000 eV/atom
1.0
2.960 0.000 0.000
0.000 2.960 0.000
0.000 0.000 6.041
Be Zn Tc
1 1 2
Direct
0.000 0.000 0.000
0.500 0.500 0.773
0.000 0.000 0.470
0.500 0.500 0.233

=====

# 4
PBE-GGA MnTc2, optimized geometry; formation enthalpy at 0 K = 0.248 eV/atom; SG = No. 191; D(E_F) = 3.3 states/eV per cell; total magnetization = 1.51 μB per cell; VASP energy = -29.16 eV per cell; E above lowest polymorph = 0.2479 eV/atom
1.0
4.333 0.000 0.000
-2.167 3.753 0.000
0.000 0.000 2.605
Mn Tc
1 2
Direct
0.000 0.000 0.000
0.333 0.667 0.500
0.667 0.333 0.500

=====

# 5
PBE-GGA UTc2P2, optimized geometry; formation enthalpy at 0 K = -0.679 eV/atom; SG = No. 139; D(E_F) = 4.4 states/eV per cell; total magnetization = 0.00 μB per cell; VASP energy = -46.23 eV per cell
1.0
-2.067 2.067 4.670
2.067 -2.067 4.670
2.067 2.067 -4.670
U Tc P
1 2 2
Direct
0.000 0.000 0.000
0.250 0.750 0.500
0.750 0.250 0.500
0.375 0.375 0.000
0.625 0.625 0.000

=====

# 6
PBE-GGA AlGeSb2, optimized geometry; SG = No. 225; D(E_F) = 3.0 states/eV per cell; total magnetization = 0.00 μB per cell; VASP energy = -15.56 eV per cell; E above lowest polymorph = 0.1779 eV/atom
1.0
0.000 3.583 3.583
3.583 0.000 3.583
3.583 3.583 0.000
Al Ge Sb
1 1 2
Direct
0.000 0.000 0.000
0.500 0.500 0.500
0.250 0.250 0.250
0.750 0.750 0.750

=====

# 7
PBE-GGA CaCr2Re, optimized geometry; formation enthalpy at 0 K = 0.914 eV/atom; SG = No. 10; D(E_F) = 3.9 states/eV per cell; total magnetization = 1.33 μB per cell; VASP energy = -30.04 eV per cell; E above lowest polymorph = 0.4296 eV/atom
1.0
5.215 0.000 0.000
0.000 2.564 0.000
-2.453 0.000 4.701
Ca Cr Re
1 2 1
Direct
0.000 0.000 0.000
0.000 0.500 0.500
0.500 0.000 0.000
0.500 0.500 0.500

=====

# 8
PBE-GGA AcMgRh2, optimized geometry; formation enthalpy at 0 K = -0.474 eV/atom; SG = No. 123; D(E_F) = 2.5 states/eV per cell; total magnetization = 0.00 μB per cell; VASP energy = -22.30 eV per cell
1.0
4.654 0.000 0.000
0.000 4.654 0.000
0.000 0.000 3.740
Ac Mg Rh
1 1 2
Direct
0.000 0.000 0.000
0.500 0.500 0.000
0.000 0.500 0.500
0.500 0.000 0.500

=====

# 9
PBE-GGA Na4TeH10Se2O16, optimized geometry; SG = No. 14; D(E_F) = 0.0 states/eV per cell; total magnetization = 0.00 μB per cell; VASP energy = -324.72 eV per cell; E above lowest polymorph = 0.0000 eV/atom
1.0
7.452 0.000 0.000
0.000 11.338 0.000
-6.515 0.000 10.245
Na Te H Se O
8 2 20 4 32
Direct
0.086 0.002 0.166
0.086 0.498 0.666
0.382 0.703 0.376
0.382 0.797 0.876
0.618 0.203 0.124
0.618 0.297 0.624
0.914 0.502 0.334
0.914 0.998 0.834
0.500 0.000 0.500
0.500 0.500 0.000
0.170 0.530 0.243
0.170 0.970 0.743
0.319 0.059 0.855
0.319 0.441 0.355
0.381 0.656 0.593
0.381 0.844 0.093
0.441 0.246 0.367
0.441 0.254 0.867
0.452 0.593 0.169
0.452 0.907 0.669
0.548 0.093 0.331
0.548 0.407 0.831
0.559 0.746 0.133
0.559 0.754 0.633
0.619 0.156 0.907
0.619 0.344 0.407
0.681 0.559 0.645
0.681 0.941 0.145
0.830 0.030 0.257
0.830 0.470 0.757
0.016 0.707 0.002
0.016 0.793 0.502
0.984 0.207 0.498
0.984 0.293 0.998
0.064 0.646 0.513
0.064 0.854 0.013
0.140 0.675 0.898
0.140 0.825 0.398
0.178 0.548 0.903
0.178 0.952 0.403
0.206 0.652 0.148
0.206 0.848 0.648
0.228 0.512 0.336
0.228 0.988 0.836
0.416 0.093 0.332
0.416 0.407 0.832
0.425 0.129 0.560
0.425 0.371 0.060
0.481 0.170 0.897
0.481 0.330 0.397
0.519 0.670 0.603
0.519 0.830 0.103
0.575 0.629 0.940
0.575 0.871 0.440
0.584 0.593 0.168
0.584 0.907 0.668
0.772 0.012 0.164
0.772 0.488 0.664
0.794 0.152 0.352
0.794 0.348 0.852
0.822 0.048 0.597
0.822 0.452 0.097
0.860 0.175 0.602
0.860 0.325 0.102
0.936 0.146 0.987
0.936 0.354 0.487

=====

# 10
PBE-GGA Ti2CCl2, optimized geometry; SG = No. 127; D(E_F) = 6.2 states/eV per cell; total magnetization = 0.00 μB per cell; VASP energy = -60.33 eV per cell
1.0
6.015 0.000 0.000
0.000 6.015 0.000
0.000 0.000 4.495
Ti C Cl
4 2 4
Direct
0.213 0.287 0.000
0.287 0.787 0.000
0.713 0.213 0.000
0.787 0.713 0.000
0.000 0.000 0.000
0.500 0.500 0.000
0.172 0.672 0.500
0.328 0.172 0.500
0.672 0.828 0.500
0.828 0.328 0.500

=====

# 11
PBE-GGA Mn2AgSb, optimized geometry; SG = No. 166; D(E_F) = 3.9 states/eV per cell; total magnetization = 8.07 μB per cell; VASP energy = -23.55 eV per cell
1.0
1.603 0.926 8.605
-1.603 0.926 8.605
0.000 -1.852 8.605
Mn Ag Sb
2 1 1
Direct
0.248 0.248 0.248
0.752 0.752 0.752
0.500 0.500 0.500
0.000 0.000 0.000

=====

# 12
PBE-GGA AgSe3Cl, optimized geometry; SG = No. 221; D(E_F) = 8.1 states/eV per cell; total magnetization = 1.15 μB per cell; VASP energy = -11.32 eV per cell
1.0
5.105 0.000 0.000
0.000 5.105 0.000
0.000 0.000 5.105
Ag Se Cl
1 3 1
Direct
0.000 0.000 0.000
0.000 0.000 0.500
0.000 0.500 0.000
0.500 0.000 0.000
0.500 0.500 0.500